No. 1
The following is a GGA-PBE calculation of a relaxed CaGe5Pd7 crystal, from the Alexandria database.

a = 5.3882 Å, b = 9.2565 Å, c = 8.7470 Å
α = 90.00°, β = 90.00°, γ = 90.00°
Closest atoms and distances in Å follow each position.
Space group Imm2 (No. 44)
Unique sites:
Ca: 0.0000 0.0000 0.0000 x2  4 Pd 2.90-3.18
Ge: 0.0000 0.5000 0.2734 x2  6 Pd 2.70-2.85, 4 Ge 2.82
Ge: 0.2453 0.2653 0.7448 x8  6 Pd 2.55-2.79, 3 Ge 2.64-2.82
Pd: 0.0000 0.0000 0.3422 x2  4 Ge 2.71, 5 Pd 2.86-2.94, 1 Ca 2.99
Pd: 0.0000 0.0000 0.6687 x2  6 Ge 2.85-2.87, 3 Pd 2.86-3.11, 1 Ca 2.90
Pd: 0.0000 0.2876 0.4849 x4  5 Ge 2.56-2.70
Pd: 0.0000 0.3429 0.0130 x4  5 Ge 2.64-2.79, 2 Pd 2.91-2.92
Pd: 0.0000 0.5000 0.7241 x2  4 Ge 2.55

Output
formation energy from the elements	-0.40	eV per atom
total magnetic moment	0.0	μB per formula unit
volume	16.78	Å³ per atom



No. 2
The following is a GGA-PBE calculation of a relaxed TlAgP crystal, from the Alexandria database.

a = 7.8225 Å, b = 4.2234 Å, c = 7.9073 Å
α = 90.00°, β = 90.00°, γ = 90.00°
Closest atoms and distances in Å follow each position.
Space group Pnma (No. 62)
Unique sites:
Tl: 0.0184 0.2500 0.1717 x4  5 P 3.05-3.31, 5 Ag 3.18-3.42
Ag: 0.1560 0.2500 0.5819 x4  4 P 2.63-2.78
P: 0.1976 0.7500 0.3870 x4  4 Ag 2.63-2.78

Output
formation energy from the elements	0.23	eV per atom
total magnetic moment	0.0	μB per formula unit
volume	21.77	Å³ per atom
ΔE to the lowest computed polymorph	0.33	eV per formula unit



No. 3
The following is a GGA-PBE calculation of a relaxed AlCoCl2 crystal, from the Alexandria database.

a = 3.1141 Å, b = 6.0980 Å, c = 9.0408 Å
α = 90.00°, β = 90.00°, γ = 90.00°
Closest atoms and distances in Å follow each position.
Space group Cmm2 (No. 35)
Unique sites:
Al: 0.0000 0.0000 0.0000 x2  2 Cl 2.36, 2 Co 2.45
Co: 0.0000 0.5000 0.2097 x2  2 Cl 2.25, 2 Al 2.45
Cl: 0.0000 0.0000 0.3894 x2  2 Co 2.25
Cl: 0.0000 0.5000 0.8042 x2  2 Al 2.36

Output
total magnetic moment	2.0	μB per formula unit
ΔE_f (raw)	-1.3	eV/f.u.
volume	21.46	Å³ per atom
ΔE to the lowest computed polymorph	0.93	eV per formula unit



No. 4
The following is a GGA-PBE calculation of a relaxed FeOs2Pb crystal, from the Alexandria database.

a = 3.1531 Å, b = 4.5038 Å, c = 9.0029 Å
α = 90.00°, β = 90.00°, γ = 90.00°
Closest atoms and distances in Å follow each position.
Space group Imm2 (No. 44)
Unique sites:
Fe: 0.0000 0.0000 0.0000 x2  6 Os 2.62-2.75, 2 Pb 2.73
Os: 0.0000 0.0000 0.4902 x2  4 Fe 2.75, 2 Os 2.80, 2 Pb 2.84
Os: 0.0000 0.5000 0.7327 x2  2 Fe 2.62, 4 Pb 2.76, 2 Os 2.80
Pb: 0.0000 0.5000 0.2530 x2  2 Fe 2.73, 6 Os 2.76-2.84

Output
formation energy from the elements	0.93	eV per atom
total magnetic moment	3.0	μB per formula unit
volume	15.98	Å³ per atom



No. 5
The following is a GGA-PBE calculation of a relaxed MgTaRe crystal, from the Alexandria database.

a = 2.7079 Å, b = 4.4956 Å, c = 8.3162 Å
α = 90.00°, β = 90.00°, γ = 90.00°
Closest atoms and distances in Å follow each position.
Space group Imm2 (No. 44)
Unique sites:
Mg: 0.0000 0.0000 0.0000 x2  2 Mg 2.71, 5 Ta 2.76-2.97, 5 Re 2.80-2.96
Ta: 0.0000 0.0000 0.3323 x2  2 Ta 2.71, 5 Re 2.76-2.98, 5 Mg 2.76-2.97
Re: 0.0000 0.0000 0.6636 x2  2 Re 2.71, 5 Ta 2.76-2.98, 5 Mg 2.80-2.96

Output
formation energy from the elements	0.18	eV per atom
total magnetic moment	0.0	μB per formula unit
volume	16.87	Å³ per atom
ΔE to the lowest computed polymorph	0.37	eV per formula unit



No. 6
The following is a GGA-PBE calculation of a relaxed CsAlSb2I crystal, from the Alexandria database.

a = 5.3671 Å, b = 5.3671 Å, c = 6.8514 Å
α = 90.00°, β = 90.00°, γ = 90.00°
Closest atoms and distances in Å follow each position.
Space group P4/mmm (No. 123)
Unique sites:
Cs: 0.0000 0.0000 0.0000 x1  4 I 3.80
Al: 0.5000 0.5000 0.5000 x1  4 Sb 2.68
Sb: 0.0000 0.5000 0.5000 x2  2 Al 2.68
I: 0.5000 0.5000 0.0000 x1  2 Al 3.43, 4 Cs 3.80

Output
total magnetic moment	0.0	μB per formula unit
ΔE_f (raw)	-0.5	eV/f.u.
volume	39.47	Å³ per atom
ΔE to the lowest computed polymorph	0.00	eV per formula unit